VASP calculation (PBE) on crystalline LaPr2Sm8 at its relaxed geometry.

As for the density of states at the Fermi level: 17.8 states/eV/f.u. The formation enthalpy at 0 K comes out at 0.146 eV/atom.

The space group is C2/m (No. 12) and the conventional cell measures 19.455, 7.155 and 5.703 Å, with angles of 90.00, 93.35 and 90.00 degrees. Symmetry generates all atoms from La at (0.000, 0.000, 0.000), Pr at (0.216, 0.500, 0.255), Sm at (0.045, 0.500, 0.239), Sm at (0.130, 0.267, 0.732) and Sm at (0.187, 0.000, 0.232).


VASP calculation (PBE) on crystalline La5Pr3Sm4 at its relaxed geometry.

The value obtained for the energy above the most stable polymorph in this dataset is 0.196 eV/atom. As for the density of states at the Fermi level: 18.6 states/eV/f.u. The formation enthalpy at 0 K comes out at 0.212 eV/atom.

The space group is C2/m (No. 12) and the conventional cell measures 18.621, 5.952 and 9.061 Å, with angles of 90.00, 119.00 and 90.00 degrees. Symmetry generates all atoms from La at (0.000, 0.000, 0.000), La at (0.103, 0.500, 0.425), La at (0.164, 0.500, 0.894), Pr at (0.000, 0.500, 0.000), Pr at (0.185, 0.000, 0.222), Sm at (0.032, 0.000, 0.702) and Sm at (0.200, 0.000, 0.643).


VASP calculation (PBE) on crystalline LaPr3Sm6 at its relaxed geometry.

The value obtained for the energy above the most stable polymorph in this dataset is 0.000 eV/atom. As for the density of states at the Fermi level: 14.6 states/eV/f.u. The formation enthalpy at 0 K comes out at 0.137 eV/atom.

The space group is Cmc2_1 (No. 36) and the conventional cell measures 11.171, 19.399 and 6.450 Å, with angles of 90.00, 90.00 and 90.00 degrees. Symmetry generates all atoms from La at (0.000, 0.189, 0.000), Pr at (0.000, 0.384, 0.981), Pr at (0.176, 0.116, 0.359), Sm at (0.000, 0.037, 0.763), Sm at (0.000, 0.280, 0.537), Sm at (0.168, 0.458, 0.448) and Sm at (0.240, 0.291, 0.273).


VASP calculation (PBE) on crystalline LaPr7Sm12 at its relaxed geometry.

The value obtained for the energy above the most stable polymorph in this dataset is 0.000 eV/atom. As for the density of states at the Fermi level: 38.2 states/eV/f.u. The formation enthalpy at 0 K comes out at 0.211 eV/atom.

The space group is R-3 (No. 148, hexagonal axes) and the conventional cell measures 12.3355, 12.3355 and 16.2138 Å, with angles of 90.00, 90.00 and 120.00 degrees. Symmetry generates all atoms from La at (0.0000, 0.0000, 0.0000), Pr at (0.0000, 0.0000, 0.5000), Pr at (0.0533, 0.1882, 0.7924), Sm at (0.0184, 0.4436, 0.7215) and Sm at (0.0513, 0.5894, 0.0824).


VASP calculation (PBE) on crystalline LaPr5Sm4 at its relaxed geometry.

The value obtained for the energy above the most stable polymorph in this dataset is 0.103 eV/atom. As for the density of states at the Fermi level: 13.7 states/eV/f.u. The formation enthalpy at 0 K comes out at 0.242 eV/atom.

The space group is I4 (No. 79) and the conventional cell measures 10.507, 10.507 and 6.430 Å, with angles of 90.00, 90.00 and 90.00 degrees. Symmetry generates all atoms from La at (0.000, 0.000, 0.000), Pr at (0.000, 0.000, 0.460), Pr at (0.156, 0.774, 0.728) and Sm at (0.041, 0.654, 0.232).


VASP calculation (PBE) on crystalline La5Pr4Sm3 at its relaxed geometry.

The value obtained for the energy above the most stable polymorph in this dataset is 0.197 eV/atom. As for the density of states at the Fermi level: 18.9 states/eV/f.u. The formation enthalpy at 0 K comes out at 0.212 eV/atom.

The space group is C2/m (No. 12) and the conventional cell measures 18.673, 5.917 and 9.104 Å, with angles of 90.00, 118.96 and 90.00 degrees. Symmetry generates all atoms from La at (0.000, 0.000, 0.000), La at (0.105, 0.500, 0.427), La at (0.167, 0.500, 0.902), Pr at (0.032, 0.000, 0.706), Pr at (0.200, 0.000, 0.648), Sm at (0.000, 0.500, 0.000) and Sm at (0.182, 0.000, 0.224).


VASP calculation (PBE) on crystalline La2Pr3Sm6 at its relaxed geometry.

The value obtained for the energy above the most stable polymorph in this dataset is 0.000 eV/atom. As for the density of states at the Fermi level: 16.8 states/eV/f.u. The formation enthalpy at 0 K comes out at 0.147 eV/atom.

The space group is C2/m (No. 12) and the conventional cell measures 6.019, 11.673 and 11.382 Å, with angles of 90.00, 98.05 and 90.00 degrees. Symmetry generates all atoms from La at (0.000, 0.139, 0.000), Pr at (0.000, 0.178, 0.500), Pr at (0.000, 0.500, 0.500), Sm at (0.067, 0.343, 0.220) and Sm at (0.086, 0.000, 0.266).


VASP calculation (PBE) on crystalline La4Pr2Sm at its relaxed geometry.

The value obtained for the energy above the most stable polymorph in this dataset is 0.173 eV/atom. As for the density of states at the Fermi level: 10.4 states/eV/f.u. The formation enthalpy at 0 K comes out at 0.187 eV/atom.

The space group is Imma (No. 74) and the conventional cell measures 7.009, 11.803 and 12.438 Å, with angles of 90.00, 90.00 and 90.00 degrees. Symmetry generates all atoms from La at (0.000, 0.002, 0.146), La at (0.218, 0.250, 0.995), Pr at (0.000, 0.000, 0.500), Pr at (0.000, 0.250, 0.719) and Sm at (0.250, 0.250, 0.250).


> Number 6 is which compound?

La5Pr4Sm3


> What is the formation enthalpy at 0 K in the sixth record?

0.212 eV/atom


Copy entry 4 word for word.
VASP calculation (PBE) on crystalline LaPr7Sm12 at its relaxed geometry.

The value obtained for the energy above the most stable polymorph in this dataset is 0.000 eV/atom. As for the density of states at the Fermi level: 38.2 states/eV/f.u. The formation enthalpy at 0 K comes out at 0.211 eV/atom.

The space group is R-3 (No. 148, hexagonal axes) and the conventional cell measures 12.3355, 12.3355 and 16.2138 Å, with angles of 90.00, 90.00 and 120.00 degrees. Symmetry generates all atoms from La at (0.0000, 0.0000, 0.0000), Pr at (0.0000, 0.0000, 0.5000), Pr at (0.0533, 0.1882, 0.7924), Sm at (0.0184, 0.4436, 0.7215) and Sm at (0.0513, 0.5894, 0.0824).


> The highest formation enthalpy at 0 K belongs to which entry?

LaPr5Sm4